Record 1
5
Lattice="4.231 0.000 0.000 0.000 4.231 0.000 0.000 0.000 5.111" Properties=species:S:1:pos:R:3 comment="ScSnSN2, optimized geometry, DFT PBE" final_energy_ev_per_atom=-5.889 space_group="No. 123" pbc="T T T"
Sc 0.000 0.000 0.000
Sn 2.115 2.115 2.555
S 0.000 0.000 2.555
N 0.000 2.115 0.000
N 2.115 0.000 0.000

***

Record 2
5
Lattice="4.735 0.000 0.000 0.000 4.735 0.000 0.000 0.000 4.735" Properties=species:S:1:pos:R:3 comment="NaOsRu3, optimized geometry, DFT PBE" space_group="No. 221" e_form_mev_per_atom=1459 pbc="T T T"
Na 0.000 0.000 0.000
Os 2.368 2.368 2.368
Ru 0.000 2.368 2.368
Ru 2.368 0.000 2.368
Ru 2.368 2.368 0.000

***

Record 3
10
Lattice="7.555 0.000 0.000 0.000 7.555 0.000 0.000 0.000 3.371" Properties=species:S:1:pos:R:3 comment="TiZn2In2, optimized geometry, DFT PBE" space_group="No. 127" e_form_mev_per_atom=117 pbc="T T T"
Ti 0.000 0.000 0.000
Ti 3.777 3.777 0.000
Zn 0.913 2.865 0.000
Zn 2.865 6.642 0.000
Zn 4.690 0.913 0.000
Zn 6.642 4.690 0.000
In 1.366 5.144 1.686
In 2.411 1.366 1.686
In 5.144 6.188 1.686
In 6.188 2.411 1.686

***

Record 4
12
Lattice="4.719 0.000 0.000 0.000 4.719 0.000 0.000 0.000 14.255" Properties=species:S:1:pos:R:3 comment="PmTh2Sc9, optimized geometry, DFT PBE" space_group="No. 123" e_form_mev_per_atom=38 pbc="T T T"
Pm 0.000 0.000 0.000
Th 0.000 0.000 4.764
Th 0.000 0.000 9.491
Sc 0.000 2.360 2.416
Sc 0.000 2.360 7.127
Sc 0.000 2.360 11.839
Sc 2.360 0.000 2.416
Sc 2.360 0.000 7.127
Sc 2.360 0.000 11.839
Sc 2.360 2.360 0.000
Sc 2.360 2.360 4.760
Sc 2.360 2.360 9.495

***

Record 5
4
Lattice="0.000 3.465 3.465 3.465 0.000 3.465 3.465 3.465 0.000" Properties=species:S:1:pos:R:3 comment="ErCdInPt, optimized geometry, DFT PBE" space_group="No. 216" e_form_mev_per_atom=-605 pbc="T T T"
Er 0.000 0.000 0.000
Cd 5.198 5.198 5.198
In 3.465 3.465 3.465
Pt 1.733 1.733 1.733

***

Record 6
10
Lattice="3.817 0.000 0.000 0.000 3.817 0.000 0.000 0.000 10.703" Properties=species:S:1:pos:R:3 comment="Th2ZnNi7, optimized geometry, DFT PBE" space_group="No. 115" e_form_mev_per_atom=-320 pbc="T T T"
Th 0.000 1.909 2.504
Th 1.909 0.000 8.199
Zn 0.000 0.000 5.351
Ni 0.000 0.000 0.000
Ni 0.000 1.909 6.875
Ni 0.000 1.909 9.214
Ni 1.909 0.000 1.489
Ni 1.909 0.000 3.828
Ni 1.909 1.909 0.000
Ni 1.909 1.909 5.351

***

Record 7
12
Lattice="7.663 0.000 0.000 -0.997 7.853 0.000 -0.002 -0.008 9.744" Properties=species:S:1:pos:R:3 comment="RbLa2AgI8, optimized geometry, DFT PBE" final_energy_ev_per_atom=-3.425 space_group="No. 2" pbc="T T T"
Rb 0.000 0.000 0.000
La 3.334 3.923 2.530
La 3.329 3.921 7.214
Ag -0.001 -0.004 4.872
I 1.771 1.210 6.943
I 1.781 1.212 2.798
I 1.431 5.012 4.871
I 1.541 4.937 0.002
I 5.123 2.908 9.742
I 5.232 2.833 4.874
I 4.882 6.633 6.946
I 4.892 6.634 2.802

***

Record 8
8
Lattice="-3.460 3.460 2.798 3.460 -3.460 2.798 3.460 3.460 -2.798" Properties=species:S:1:pos:R:3 comment="ScVRh2, optimized geometry, DFT PBE" space_group="No. 122" e_form_mev_per_atom=-225 pbc="T T T"
Sc 0.000 0.000 0.000
Sc 0.000 3.460 1.399
V 3.460 0.000 1.399
V 0.000 0.000 2.798
Rh 1.730 -1.451 2.099
Rh 2.009 1.730 0.700
Rh 1.730 4.911 -0.700
Rh 1.451 1.730 3.498

***

Record 9
8
Lattice="7.603 0.000 0.000 0.000 4.350 0.000 -2.490 0.000 8.234" Properties=species:S:1:pos:R:3 comment="La4AgIrI2, optimized geometry, DFT PBE" final_energy_ev_per_atom=-5.161 space_group="No. 10" pbc="T T T"
La 1.165 0.000 1.571
La -0.190 2.175 6.619
La 5.303 2.175 1.615
La 3.948 0.000 6.663
Ag 3.801 0.000 0.000
Ir 0.000 2.175 0.000
I -1.245 0.000 4.117
I 2.556 2.175 4.117

***

Record 10
12
Lattice="5.588 0.000 0.000 -1.962 6.962 0.000 -0.141 -2.780 7.211" Properties=species:S:1:pos:R:3 comment="Mg2TlCd3, optimized geometry, DFT PBE" space_group="No. 2" e_form_mev_per_atom=-23 pbc="T T T"
Mg -0.501 1.680 2.110
Mg 0.366 4.256 0.348
Mg 3.118 -0.074 6.863
Mg 3.985 2.502 5.100
Tl 1.206 0.920 4.637
Tl 2.278 3.261 2.573
Cd 0.271 -1.522 6.438
Cd -0.598 4.782 3.308
Cd 2.361 0.188 1.475
Cd 1.123 3.993 5.736
Cd 4.082 -0.601 3.903
Cd 3.214 5.704 0.773

***

Record 11
4
Lattice="4.485 0.000 0.000 0.000 4.485 0.000 0.000 0.000 5.027" Properties=species:S:1:pos:R:3 comment="LuZrPa2, optimized geometry, DFT PBE" space_group="No. 123" e_form_mev_per_atom=170 pbc="T T T"
Lu 0.000 0.000 0.000
Zr 2.243 2.243 0.000
Pa 0.000 2.243 2.513
Pa 2.243 0.000 2.513

***

Record 12
12
Lattice="3.061 -6.090 0.000 3.061 6.090 0.000 0.000 0.000 5.944" Properties=species:S:1:pos:R:3 comment="NdGa3NiPd, optimized geometry, DFT PBE" space_group="No. 63" e_form_mev_per_atom=-484 pbc="T T T"
Nd 3.061 3.308 4.458
Nd 3.061 -3.308 1.486
Ga 1.296 0.000 0.000
Ga 1.296 0.000 2.972
Ga 3.061 1.777 1.486
Ga 3.061 -1.777 4.458
Ga 4.825 0.000 0.000
Ga 4.825 0.000 2.972
Ni 3.061 0.653 4.458
Ni 3.061 -0.653 1.486
Pd 3.061 4.298 1.486
Pd 3.061 -4.298 4.458